(1)
VASP calculation (PBE) on an optimized crystal structure of ErCoC6N6.

Summary:
For the total magnetization, the calculation gives 0.012 μB per cell. The calculation puts the calculated volume at 300.0 Å³/f.u. Its total energy is -0.621 Ry/atom.

Cell and atoms, written as CIF:
```
data_ErCoC6N6
_space_group_name_H-M_alt 'P 63/m m c'
_space_group_IT_number 194
_space_group_name_Hall '-P 6c 2c'
_cell_length_a 7.3227
_cell_length_b 7.3227
_cell_length_c 12.9222
_cell_angle_alpha 90.00
_cell_angle_beta 90.00
_cell_angle_gamma 120.00
loop_
_atom_site_label
_atom_site_fract_x
_atom_site_fract_y
_atom_site_fract_z
_atom_site_occupancy
Er1 0.3333 0.6667 0.2500 1
Co1 0.0000 0.0000 0.0000 1
C1 0.1187 0.2375 0.0834 1
N1 0.1927 0.3855 0.1374 1
```

(2)
VASP calculation (PBE) on an optimized crystal structure of Cu7Ag3.

Summary:
The distance to the lowest polymorph of the same formula comes out at 0.42 eV per formula unit. The calculation puts the calculated volume at 136.7 Å³/f.u. Its total energy is -0.247 Ry/atom. The calculation puts the formation energy from the elements at 0.09 eV/atom.

Cell and atoms, written as CIF:
```
data_Cu7Ag3
_space_group_name_H-M_alt 'C 1 m 1'
_space_group_IT_number 8
_space_group_name_Hall 'C -2y'
_cell_length_a 8.997
_cell_length_b 2.750
_cell_length_c 11.201
_cell_angle_alpha 90.00
_cell_angle_beta 99.36
_cell_angle_gamma 90.00
loop_
_atom_site_label
_atom_site_fract_x
_atom_site_fract_y
_atom_site_fract_z
_atom_site_occupancy
Cu1 0.000 0.000 0.000 1
Cu2 0.000 0.500 0.481 1
Cu3 0.108 0.500 0.182 1
Cu4 0.314 0.000 0.105 1
Cu5 0.322 0.500 0.592 1
Cu6 0.411 0.000 0.795 1
Cu7 0.418 0.500 0.285 1
Ag1 0.112 0.000 0.683 1
Ag2 0.209 0.500 0.904 1
Ag3 0.210 0.000 0.387 1
```

(3)
VASP calculation (PBE) on an optimized crystal structure of ZrPb.

Summary:
For the total magnetization, the calculation gives 0.018 μB per cell. The calculation puts the calculated volume at 50.2 Å³/f.u. Its total energy is -0.448 Ry/atom.

Cell and atoms, written as CIF:
```
data_ZrPb
_space_group_name_H-M_alt 'P 1 m 1'
_space_group_IT_number 6
_space_group_name_Hall 'P -2y'
_cell_length_a 5.580
_cell_length_b 5.468
_cell_length_c 8.679
_cell_angle_alpha 90.00
_cell_angle_beta 108.68
_cell_angle_gamma 90.00
loop_
_atom_site_label
_atom_site_fract_x
_atom_site_fract_y
_atom_site_fract_z
_atom_site_occupancy
Zr1 0.000 0.000 0.000 1
Zr2 0.026 0.500 0.812 1
Zr3 0.215 0.500 0.188 1
Zr4 0.407 0.000 0.810 1
Zr5 0.598 0.000 0.191 1
Pb1 0.203 0.000 0.380 1
Pb2 0.384 0.500 0.602 1
Pb3 0.636 0.500 0.000 1
Pb4 0.783 0.500 0.399 1
Pb5 0.823 0.000 0.620 1
```